The following is a PBE-GGA calculation of crystalline BeN at its relaxed geometry, from Alexandria.

Output
Uncorrected formation energy: -0.054 eV per atom
V: 75 Å³/cell
E above lowest polymorph: 11.73 kcal/mol of atoms

```
8
Lattice="-2.661 2.661 2.661 2.661 -2.661 2.661 2.661 2.661 -2.661" Properties=species:S:1:pos:R:3 pbc="T T T"
Be 1.847 1.847 -1.847
Be 1.847 -1.847 1.847
Be 0.814 0.814 0.814
Be -1.847 1.847 1.847
N 0.923 0.923 -0.923
N 0.923 -0.923 0.923
N -0.923 0.923 0.923
N 1.737 1.737 1.737
```

The following is a PBE-GGA calculation of crystalline BeN at its relaxed geometry, from Alexandria.

Output
Uncorrected formation energy: -0.213 eV per atom
V: 89 Å³/cell
E above lowest polymorph: 8.05 kcal/mol of atoms

```
12
Lattice="9.276 0.000 0.000 0.000 2.921 0.000 0.000 0.000 3.270" Properties=species:S:1:pos:R:3 pbc="T T T"
Be 0.000 0.176 0.000
Be 1.403 1.745 1.512
Be 3.235 1.176 3.147
Be 4.638 2.745 1.635
Be 6.041 1.176 3.147
Be 7.873 1.745 1.512
N 0.000 1.631 0.663
N 1.981 0.225 2.232
N 2.657 2.696 0.597
N 4.638 1.290 2.298
N 6.619 2.696 0.597
N 7.295 0.225 2.232
```

The following is a PBE-GGA calculation of crystalline BeN at its relaxed geometry, from Alexandria.

Output
Uncorrected formation energy: -0.119 eV per atom
V: 30 Å³/cell
E above lowest polymorph: 10.24 kcal/mol of atoms

```
4
Lattice="2.632 0.000 0.000 -1.316 2.279 0.000 0.000 0.000 5.015" Properties=species:S:1:pos:R:3 pbc="T T T"
Be 0.000 1.520 0.000
Be 1.316 0.760 2.508
N 0.000 1.520 1.651
N 1.316 0.760 4.158
```

The following is a PBE-GGA calculation of crystalline BeN at its relaxed geometry, from Alexandria.

Output
Uncorrected formation energy: -0.094 eV per atom
V: 109 Å³/cell
E above lowest polymorph: 10.81 kcal/mol of atoms

```
12
Lattice="6.675 0.000 0.000 -3.338 5.781 0.000 0.000 0.000 2.830" Properties=species:S:1:pos:R:3 pbc="T T T"
Be -0.668 2.425 0.708
Be -0.903 5.146 0.708
Be 1.767 1.791 2.123
Be 1.571 3.990 0.708
Be 4.241 0.635 2.123
Be 4.005 3.356 2.123
N -1.902 3.808 0.708
N 0.991 2.230 0.708
N 2.427 0.257 2.123
N 0.911 5.524 0.708
N 2.347 3.551 2.123
N 5.239 1.973 2.123
```